# LiPdPb3, relaxed, DFT PBE-GGA
data_LiPdPb3
_symmetry_space_group_name_H-M 'P 1'
_symmetry_Int_Tables_number 1
_cell_length_a 5.403
_cell_length_b 5.403
_cell_length_c 5.403
_cell_angle_alpha 90.00
_cell_angle_beta 90.00
_cell_angle_gamma 90.00
loop_
_symmetry_equiv_pos_as_xyz
'x,y,z'
loop_
_atom_site_label
_atom_site_type_symbol
_atom_site_fract_x
_atom_site_fract_y
_atom_site_fract_z
Pb1 Pb 0.000 0.500 0.000
Pb2 Pb 0.000 0.000 0.500
Pb3 Pb 0.500 0.000 0.000
Pd1 Pd 0.000 0.000 0.000
Li1 Li 0.500 0.500 0.500
# Theoretical density, Mg/m³: 7.7
# Calculated volume, Å³/atom: 31.55
# Energy relative to the elements, eV per atom: 0.072
# Space-group type: Pm-3m
# ΔE to the lowest computed polymorph, kJ/mol of formula units: 135

=====

# Pr3GaP2Pt9, relaxed, DFT PBE-GGA
data_Pr3GaP2Pt9
_symmetry_space_group_name_H-M 'P 1'
_symmetry_Int_Tables_number 1
_cell_length_a 6.376
_cell_length_b 6.376
_cell_length_c 8.820
_cell_angle_alpha 90.00
_cell_angle_beta 90.00
_cell_angle_gamma 120.00
loop_
_symmetry_equiv_pos_as_xyz
'x,y,z'
loop_
_atom_site_label
_atom_site_type_symbol
_atom_site_fract_x
_atom_site_fract_y
_atom_site_fract_z
Pr1 Pr 0.333 0.667 0.671
Pr2 Pr 0.000 0.000 0.000
Pr3 Pr 0.667 0.333 0.329
Ga1 Ga 0.000 0.000 0.500
P1 P 0.333 0.667 0.178
P2 P 0.667 0.333 0.822
Pt1 Pt 0.852 0.148 0.716
Pt2 Pt 0.852 0.704 0.716
Pt3 Pt 0.296 0.148 0.716
Pt4 Pt 0.704 0.852 0.284
Pt5 Pt 0.148 0.296 0.284
Pt6 Pt 0.148 0.852 0.284
Pt7 Pt 0.500 0.000 0.000
Pt8 Pt 0.000 0.500 0.000
Pt9 Pt 0.500 0.500 0.000
# Theoretical density, Mg/m³: 12.4
# Calculated volume, Å³/atom: 20.70
# Energy relative to the elements, eV per atom: -0.741
# Space-group type: P-3m1

=====

# Ce2Pm3HfN6, relaxed, DFT PBE-GGA
data_Ce2Pm3HfN6
_symmetry_space_group_name_H-M 'P 1'
_symmetry_Int_Tables_number 1
_cell_length_a 6.089
_cell_length_b 6.089
_cell_length_c 6.106
_cell_angle_alpha 99.54
_cell_angle_beta 99.54
_cell_angle_gamma 119.96
loop_
_symmetry_equiv_pos_as_xyz
'x,y,z'
loop_
_atom_site_label
_atom_site_type_symbol
_atom_site_fract_x
_atom_site_fract_y
_atom_site_fract_z
Ce1 Ce 0.333 0.667 0.000
Ce2 Ce 0.667 0.333 0.000
Pm1 Pm 0.166 0.834 0.500
Pm2 Pm 0.834 0.166 0.500
Pm3 Pm 0.500 0.500 0.500
Hf1 Hf 0.000 0.000 0.000
N1 N 0.925 0.610 0.775
N2 N 0.762 0.762 0.230
N3 N 0.075 0.390 0.225
N4 N 0.610 0.925 0.775
N5 N 0.238 0.238 0.770
N6 N 0.390 0.075 0.225
# Theoretical density, Mg/m³: 8.8
# Calculated volume, Å³/atom: 15.42
# Space-group type: C2/m
# Formation energy (no corrections), eV per atom: -1.53

=====

# VCrFe2, relaxed, DFT PBE-GGA
data_VCrFe2
_symmetry_space_group_name_H-M 'P 1'
_symmetry_Int_Tables_number 1
_cell_length_a 4.034
_cell_length_b 4.034
_cell_length_c 4.034
_cell_angle_alpha 60.00
_cell_angle_beta 60.00
_cell_angle_gamma 60.00
loop_
_symmetry_equiv_pos_as_xyz
'x,y,z'
loop_
_atom_site_label
_atom_site_type_symbol
_atom_site_fract_x
_atom_site_fract_y
_atom_site_fract_z
Cr1 Cr 0.000 0.000 0.000
Fe1 Fe 0.250 0.250 0.250
Fe2 Fe 0.750 0.750 0.750
V1 V 0.500 0.500 0.500
# Theoretical density, Mg/m³: 7.7
# Calculated volume, Å³/atom: 11.60
# Energy relative to the elements, eV per atom: 0.036
# Space-group type: Fm-3m

=====

# BAu, relaxed, DFT PBE-GGA
data_BAu
_symmetry_space_group_name_H-M 'P 1'
_symmetry_Int_Tables_number 1
_cell_length_a 6.497
_cell_length_b 6.497
_cell_length_c 6.497
_cell_angle_alpha 90.00
_cell_angle_beta 90.00
_cell_angle_gamma 90.00
loop_
_symmetry_equiv_pos_as_xyz
'x,y,z'
loop_
_atom_site_label
_atom_site_type_symbol
_atom_site_fract_x
_atom_site_fract_y
_atom_site_fract_z
B1 B 0.098 0.098 0.098
B2 B 0.098 0.902 0.902
B3 B 0.902 0.098 0.902
B4 B 0.902 0.902 0.098
B5 B 0.598 0.598 0.598
B6 B 0.598 0.402 0.402
B7 B 0.402 0.598 0.402
B8 B 0.402 0.402 0.598
Au1 Au 0.284 0.284 0.284
Au2 Au 0.284 0.716 0.716
Au3 Au 0.716 0.284 0.716
Au4 Au 0.716 0.716 0.284
Au5 Au 0.784 0.784 0.784
Au6 Au 0.784 0.216 0.216
Au7 Au 0.216 0.784 0.216
Au8 Au 0.216 0.216 0.784
# Theoretical density, Mg/m³: 10.1
# Calculated volume, Å³/atom: 17.14
# Energy relative to the elements, eV per atom: 0.477
# Space-group type: I-43m

=====

# MgZnTe2, relaxed, DFT PBE-GGA
data_MgZnTe2
_symmetry_space_group_name_H-M 'P 1'
_symmetry_Int_Tables_number 1
_cell_length_a 4.354
_cell_length_b 4.354
_cell_length_c 7.138
_cell_angle_alpha 90.00
_cell_angle_beta 90.00
_cell_angle_gamma 120.00
loop_
_symmetry_equiv_pos_as_xyz
'x,y,z'
loop_
_atom_site_label
_atom_site_type_symbol
_atom_site_fract_x
_atom_site_fract_y
_atom_site_fract_z
Zn1 Zn 0.333 0.667 0.426
Te1 Te 0.333 0.667 0.793
Te2 Te 0.667 0.333 0.274
Mg1 Mg 0.000 0.000 0.962
# Theoretical density, Mg/m³: 4.9
# Calculated volume, Å³/atom: 29.29
# Space-group type: P3m1
# Formation energy (no corrections), eV per atom: -0.57

=====

Which of these has the highest theoretical density? Pr3GaP2Pt9